Entry 1:
First-principles (PBE) data for an optimized crystal structure of CsInBr3, as listed in Alexandria.

Results
Calculated volume in Å³/f.u.: 244.89
Magnetic moment in μB per cell: 0.00
N(E_F) in states/eV/cell: 4.52
E_form (uncorrected) in meV per atom: -931

abc: 6.0473 6.0473 26.7862
angles: 90.00 90.00 90.00
Last column: nearest neighbours and their distance in Å.
Space group I-4m2 (No. 119)
Symmetry-distinct sites (fractional):
Cs 0.0000 0.0000 0.0895 [4 per cell]  8 Br 3.69-4.04
In 0.0000 0.0000 0.5000 [2 per cell]  4 Br 3.04
In 0.0000 0.5000 0.2500 [2 per cell]  4 Br 3.17
Br 0.0000 0.2462 0.3536 [8 per cell]  2 Br 2.98-3.07, 1 In 3.17
Br 0.0000 0.5000 0.5107 [4 per cell]  2 In 3.04

---

Entry 2:
First-principles (PBE) data for an optimized crystal structure of CsInBr3, as listed in Alexandria.

Results
Calculated volume in Å³/f.u.: 270.84
Magnetic moment in μB per cell: 0.00
N(E_F) in states/eV/cell: 1.77
E_form (uncorrected) in meV per atom: -861

abc: 5.7366 5.7366 32.9200
angles: 90.00 90.00 90.00
Last column: nearest neighbours and their distance in Å.
Space group I-4m2 (No. 119)
Symmetry-distinct sites (fractional):
Cs 0.0000 0.0000 0.0000 [2 per cell]  4 Br 3.50
Cs 0.0000 0.5000 0.2500 [2 per cell]  4 Br 3.52
In 0.0000 0.5000 0.6411 [4 per cell]  6 Br 3.26-3.53
Br 0.0000 0.0000 0.3119 [4 per cell]  2 In 3.26, 2 Cs 3.52
Br 0.0000 0.2523 0.0967 [8 per cell]  2 Br 2.84-2.90

---

Entry 3:
First-principles (PBE) data for an optimized crystal structure of CsInBr3, as listed in Alexandria.

Results
Calculated volume in Å³/f.u.: 235.08
Magnetic moment in μB per cell: 0.00
N(E_F) in states/eV/cell: 0.00
E_form (uncorrected) in meV per atom: -1234

abc: 7.6608 7.8072 9.1737
angles: 89.32 68.13 68.86
Last column: nearest neighbours and their distance in Å.
Space group P1 (No. 1)
Symmetry-distinct sites (fractional):
Cs 0.0000 0.0000 0.0000 [1 per cell]  8 Br 3.72-4.14
Cs 0.2089 0.4955 0.4052 [1 per cell]  8 Br 3.72-4.15
In 0.4488 0.3371 0.8488 [1 per cell]  3 Br 2.59-2.62, 1 In 2.79
In 0.7600 0.1573 0.5563 [1 per cell]  3 Br 2.59-2.62, 1 In 2.79
Br 0.0838 0.4771 0.8494 [1 per cell]  1 In 2.61
Br 0.1249 0.0169 0.5558 [1 per cell]  1 In 2.61
Br 0.4329 0.1145 0.0645 [1 per cell]  1 In 2.62
Br 0.4639 0.6120 0.9923 [1 per cell]  1 In 2.59
Br 0.7451 0.8827 0.4119 [1 per cell]  1 In 2.59
Br 0.7760 0.3804 0.3409 [1 per cell]  1 In 2.62

---

Entry 4:
First-principles (PBE) data for an optimized crystal structure of Cs2In2Br5, as listed in Alexandria.

Results
Calculated volume in Å³/f.u.: 397.79
Magnetic moment in μB per cell: 0.00
N(E_F) in states/eV/cell: 5.36
E_form (uncorrected) in meV per atom: -1205

abc: 24.3986 8.1189 8.0325
angles: 90.00 90.00 90.00
Last column: nearest neighbours and their distance in Å.
Space group Ima2 (No. 46)
Symmetry-distinct sites (fractional):
Cs 0.1079 0.0021 0.0000 [8 per cell]  8 Br 3.69-4.04
In 0.0000 0.0000 0.5001 [4 per cell]  6 Br 2.86-2.95
In 0.2500 0.5331 0.9723 [4 per cell]  4 Br 3.02-3.18
Br 0.0022 0.7503 0.2498 [8 per cell]  2 In 2.86
Br 0.1209 0.0131 0.5008 [8 per cell]  2 In 2.95-3.18
Br 0.2500 0.6170 0.5999 [4 per cell]  2 In 3.02-3.07